[1]
TaNbTcMo: relaxed, PBE.

Cell: 6.4194 6.4194 6.4194 Å, 90.00 90.00 90.00°
Last column: nearest neighbours and their distance in Å.
Space group F-43m (No. 216)
Symmetry-distinct sites (fractional):
Ta 0.0000 0.0000 0.0000 (multiplicity 4)  4 Mo 2.78, 4 Tc 2.78
Nb 0.0000 0.0000 0.5000 (multiplicity 4)  4 Mo 2.78, 4 Tc 2.78
Tc 0.2500 0.2500 0.7500 (multiplicity 4)  4 Ta 2.78, 4 Nb 2.78
Mo 0.2500 0.2500 0.2500 (multiplicity 4)  4 Ta 2.78, 4 Nb 2.78

Output
Mass density (Mg/m³): 11.7
ΔE_f (eV/atom): -0.303
Distance to the lowest polymorph of the same formula (meV per atom): 0.0

[2]
Nd4PuP5: relaxed, PBE.

Cell: 9.2398 9.2398 5.8431 Å, 90.00 90.00 90.00°
Last column: nearest neighbours and their distance in Å.
Space group I4/m (No. 87)
Symmetry-distinct sites (fractional):
Nd 0.0986 0.6994 0.0000 (multiplicity 8)  6 P 2.92-2.99
Pu 0.0000 0.0000 0.5000 (multiplicity 2)  6 P 2.84-2.92
P 0.0000 0.0000 0.0000 (multiplicity 2)  2 Pu 2.92, 4 Nd 2.92
P 0.0966 0.7082 0.5000 (multiplicity 8)  1 Pu 2.84, 5 Nd 2.92-2.99

Output
Mass density (Mg/m³): 6.5
ΔE_f (eV/atom): -1.446